Below is a relaxed Mg2TcRu crystal, with properties calculated at the PBE level.

The space group is P4/mmm (No. 123) and the conventional cell measures 3.8183, 3.8183 and 4.3384 Å, with angles of 90.00, 90.00 and 90.00 degrees. The inequivalent atoms are Mg at (0.0000, 0.5000, 0.0000), Tc at (0.0000, 0.0000, 0.5000) and Ru at (0.5000, 0.5000, 0.5000).

The excess energy over the best structure of this formula in the dataset comes out at 108.4 kJ/mol of formula units.


Below is a relaxed Mg2TcRu crystal, with properties calculated at the PBE level.

The space group is Cmm2 (No. 35) and the conventional cell measures 3.0624, 4.6626 and 9.3289 Å, with angles of 90.00, 90.00 and 90.00 degrees. The inequivalent atoms are Mg at (0.0000, 0.0000, 0.0000), Mg at (0.0000, 0.5000, 0.2905), Tc at (0.0000, 0.5000, 0.7508) and Ru at (0.0000, 0.0000, 0.5310).

The excess energy over the best structure of this formula in the dataset comes out at 103.3 kJ/mol of formula units.


Below is a relaxed MgTc2Ru crystal, with properties calculated at the PBE level.

The space group is Pmm2 (No. 25) and the conventional cell measures 2.7729, 4.0354 and 5.3114 Å, with angles of 90.00, 90.00 and 90.00 degrees. The inequivalent atoms are Mg at (0.0000, 0.0000, 0.0000), Tc at (0.0000, 0.0000, 0.4992), Tc at (0.5000, 0.5000, 0.7351) and Ru at (0.5000, 0.5000, 0.2280).


Below is a relaxed Mg2TcRu crystal, with properties calculated at the PBE level.

The space group is Imm2 (No. 44) and the conventional cell measures 3.0326, 4.6353 and 9.2650 Å, with angles of 90.00, 90.00 and 90.00 degrees. The inequivalent atoms are Mg at (0.0000, 0.0000, 0.0000), Mg at (0.0000, 0.5000, 0.2204), Tc at (0.0000, 0.0000, 0.4626) and Ru at (0.0000, 0.5000, 0.7479).

The excess energy over the best structure of this formula in the dataset comes out at 72.7 kJ/mol of formula units.


Below is a relaxed Mg2TcRu crystal, with properties calculated at the PBE level.

The space group is Cmmm (No. 65) and the conventional cell measures 3.1729, 4.4408 and 8.9285 Å, with angles of 90.00, 90.00 and 90.00 degrees. The inequivalent atoms are Mg at (0.0000, 0.0000, 0.2441), Tc at (0.0000, 0.5000, 0.5000) and Ru at (0.0000, 0.5000, 0.0000).

The excess energy over the best structure of this formula in the dataset comes out at 90.5 kJ/mol of formula units.


Below is a relaxed MgTc2Ru crystal, with properties calculated at the PBE level.

The space group is Cmmm (No. 65) and the conventional cell measures 2.9141, 4.5417 and 9.1870 Å, with angles of 90.00, 90.00 and 90.00 degrees. The inequivalent atoms are Mg at (0.0000, 0.0000, 0.0000), Tc at (0.0000, 0.5000, 0.2593) and Ru at (0.0000, 0.0000, 0.5000).


Below is a relaxed MgTc2Ru crystal, with properties calculated at the PBE level.

The space group is P4/mmm (No. 123) and the conventional cell measures 4.5970, 4.5970 and 2.8210 Å, with angles of 90.00, 90.00 and 90.00 degrees. The inequivalent atoms are Mg at (0.0000, 0.0000, 0.0000), Tc at (0.0000, 0.5000, 0.5000) and Ru at (0.5000, 0.5000, 0.0000).


Below is a relaxed Mg2TcRu crystal, with properties calculated at the PBE level.

The space group is P4mm (No. 99) and the conventional cell measures 3.0080, 3.0080 and 7.3424 Å, with angles of 90.00, 90.00 and 90.00 degrees. The inequivalent atoms are Mg at (0.0000, 0.0000, 0.0000), Mg at (0.5000, 0.5000, 0.3116), Tc at (0.5000, 0.5000, 0.7516) and Ru at (0.0000, 0.0000, 0.5492).

The excess energy over the best structure of this formula in the dataset comes out at 0.0 kJ/mol of formula units.


Below is a relaxed Mg2TcRu crystal, with properties calculated at the PBE level.

The space group is Fm-3m (No. 225) and the conventional cell measures 6.3669, 6.3669 and 6.3669 Å, with angles of 90.00, 90.00 and 90.00 degrees. The inequivalent atoms are Mg at (0.2500, 0.2500, 0.2500), Tc at (0.0000, 0.0000, 0.0000) and Ru at (0.0000, 0.0000, 0.5000).

The excess energy over the best structure of this formula in the dataset comes out at 167.1 kJ/mol of formula units.


Below is a relaxed MgTc2Ru crystal, with properties calculated at the PBE level.

The space group is I4/mmm (No. 139) and the conventional cell measures 3.6940, 3.6940 and 8.6681 Å, with angles of 90.00, 90.00 and 90.00 degrees. The inequivalent atoms are Mg at (0.0000, 0.0000, 0.0000), Tc at (0.0000, 0.5000, 0.2500) and Ru at (0.0000, 0.0000, 0.5000).


Below is a relaxed Mg2TcRu crystal, with properties calculated at the PBE level.

The space group is Cmmm (No. 65) and the conventional cell measures 5.2379, 8.7014 and 2.7867 Å, with angles of 90.00, 90.00 and 90.00 degrees. The inequivalent atoms are Mg at (0.2500, 0.2500, 0.0000), Tc at (0.0000, 0.0000, 0.5000) and Ru at (0.0000, 0.5000, 0.5000).

The excess energy over the best structure of this formula in the dataset comes out at 112.9 kJ/mol of formula units.


Below is a relaxed MgTc2Ru crystal, with properties calculated at the PBE level.

The space group is Pm (No. 6) and the conventional cell measures 2.7447, 4.3067 and 5.1154 Å, with angles of 90.00, 99.44 and 90.00 degrees. The inequivalent atoms are Mg at (0.0000, 0.0000, 0.0000), Tc at (0.3390, 0.5000, 0.7554), Tc at (0.4407, 0.0000, 0.5028) and Ru at (0.7718, 0.5000, 0.2581).


Below is a relaxed MgTc2Ru crystal, with properties calculated at the PBE level.

The space group is C2/m (No. 12) and the conventional cell measures 5.1689, 8.7360 and 2.7178 Å, with angles of 90.00, 104.28 and 90.00 degrees. The inequivalent atoms are Mg at (0.0000, 0.0000, 0.0000), Tc at (0.2500, 0.2500, 0.5000) and Ru at (0.0000, 0.5000, 0.0000).


Below is a relaxed MgTc2Ru crystal, with properties calculated at the PBE level.

The space group is P2/m (No. 10) and the conventional cell measures 2.7690, 4.1856 and 5.1182 Å, with angles of 90.00, 91.88 and 90.00 degrees. The inequivalent atoms are Mg at (0.0000, 0.0000, 0.0000), Tc at (0.4942, 0.5000, 0.7574) and Ru at (0.0000, 0.0000, 0.5000).


Below is a relaxed MgTc2Ru crystal, with properties calculated at the PBE level.

The space group is R3m (No. 160, hexagonal axes) and the conventional cell measures 2.7961, 2.7961 and 26.8777 Å, with angles of 90.00, 90.00 and 120.00 degrees. The inequivalent atoms are Mg at (0.0000, 0.0000, 0.0000), Tc at (0.0000, 0.0000, 0.2439), Tc at (0.0000, 0.0000, 0.4986) and Ru at (0.0000, 0.0000, 0.7523).


Below is a relaxed Mg2TcRu crystal, with properties calculated at the PBE level.

The space group is R-3m (No. 166, hexagonal axes) and the conventional cell measures 2.8293, 2.8293 and 27.2958 Å, with angles of 90.00, 90.00 and 120.00 degrees. The inequivalent atoms are Mg at (0.0000, 0.0000, 0.2478), Tc at (0.0000, 0.0000, 0.0000) and Ru at (0.0000, 0.0000, 0.5000).

The excess energy over the best structure of this formula in the dataset comes out at 96.9 kJ/mol of formula units.


Below is a relaxed MgTc2Ru crystal, with properties calculated at the PBE level.

The space group is Cmmm (No. 65) and the conventional cell measures 5.0651, 8.5828 and 2.7427 Å, with angles of 90.00, 90.00 and 90.00 degrees. The inequivalent atoms are Mg at (0.0000, 0.0000, 0.0000), Tc at (0.2500, 0.2500, 0.5000) and Ru at (0.0000, 0.5000, 0.0000).


Below is a relaxed MgTcRu crystal, with properties calculated at the PBE level.

The space group is Fmm2 (No. 42) and the conventional cell measures 2.9413, 4.6337 and 13.6074 Å, with angles of 90.00, 90.00 and 90.00 degrees. The inequivalent atoms are Mg at (0.0000, 0.0000, 0.0000), Tc at (0.0000, 0.0000, 0.6764) and Ru at (0.0000, 0.0000, 0.3303).

The excess energy over the best structure of this formula in the dataset comes out at 77.3 kJ/mol of formula units.


Below is a relaxed MgTc3Ru crystal, with properties calculated at the PBE level.

The space group is Pm-3m (No. 221) and the conventional cell measures 4.6680, 4.6680 and 4.6680 Å, with angles of 90.00, 90.00 and 90.00 degrees. The inequivalent atoms are Mg at (0.0000, 0.0000, 0.0000), Tc at (0.0000, 0.5000, 0.5000) and Ru at (0.5000, 0.5000, 0.5000).

The excess energy over the best structure of this formula in the dataset comes out at 0.0 kJ/mol of formula units.


Below is a relaxed MgTc2Ru crystal, with properties calculated at the PBE level.

The space group is P4/mmm (No. 123) and the conventional cell measures 2.7390, 2.7390 and 8.1443 Å, with angles of 90.00, 90.00 and 90.00 degrees. The inequivalent atoms are Mg at (0.0000, 0.0000, 0.0000), Tc at (0.5000, 0.5000, 0.2696) and Ru at (0.0000, 0.0000, 0.5000).


Below is a relaxed Mg2TcRu crystal, with properties calculated at the PBE level.

The space group is Immm (No. 71) and the conventional cell measures 3.1706, 4.4112 and 8.9919 Å, with angles of 90.00, 90.00 and 90.00 degrees. The inequivalent atoms are Mg at (0.0000, 0.0000, 0.2455), Tc at (0.0000, 0.5000, 0.0000) and Ru at (0.0000, 0.5000, 0.5000).

The excess energy over the best structure of this formula in the dataset comes out at 96.5 kJ/mol of formula units.


Below is a relaxed Mg2TcRu crystal, with properties calculated at the PBE level.

The space group is I-42d (No. 122) and the conventional cell measures 7.1679, 7.1679 and 5.2450 Å, with angles of 90.00, 90.00 and 90.00 degrees. The inequivalent atoms are Mg at (0.2413, 0.2500, 0.1250), Tc at (0.0000, 0.0000, 0.5000) and Ru at (0.0000, 0.0000, 0.0000).

The excess energy over the best structure of this formula in the dataset comes out at 279.5 kJ/mol of formula units.


Below is a relaxed MgTc2Ru crystal, with properties calculated at the PBE level.

The space group is R-3m (No. 166, hexagonal axes) and the conventional cell measures 2.7880, 2.7880 and 27.1930 Å, with angles of 90.00, 90.00 and 120.00 degrees. The inequivalent atoms are Mg at (0.0000, 0.0000, 0.0000), Tc at (0.0000, 0.0000, 0.2446) and Ru at (0.0000, 0.0000, 0.5000).


Below is a relaxed MgTcRu crystal, with properties calculated at the PBE level.

The space group is I4mm (No. 107) and the conventional cell measures 2.9556, 2.9556 and 10.3838 Å, with angles of 90.00, 90.00 and 90.00 degrees. The inequivalent atoms are Mg at (0.0000, 0.0000, 0.0000), Tc at (0.0000, 0.0000, 0.3194) and Ru at (0.0000, 0.0000, 0.6723).

The excess energy over the best structure of this formula in the dataset comes out at 4.0 kJ/mol of formula units.


Below is a relaxed Mg2TcRu crystal, with properties calculated at the PBE level.

The space group is P2/m (No. 10) and the conventional cell measures 2.7476, 4.4609 and 5.2465 Å, with angles of 90.00, 102.10 and 90.00 degrees. The inequivalent atoms are Mg at (0.2347, 0.0000, 0.2524), Tc at (0.5000, 0.5000, 0.0000) and Ru at (0.0000, 0.5000, 0.5000).

The excess energy over the best structure of this formula in the dataset comes out at 93.5 kJ/mol of formula units.


Below is a relaxed Mg2TcRu2 crystal, with properties calculated at the PBE level.

The space group is P4/mbm (No. 127) and the conventional cell measures 6.3205, 6.3205 and 4.3515 Å, with angles of 90.00, 90.00 and 90.00 degrees. The inequivalent atoms are Mg at (0.1742, 0.3258, 0.0000), Tc at (0.0000, 0.0000, 0.5000) and Ru at (0.1346, 0.6346, 0.5000).


Below is a relaxed MgTc2Ru crystal, with properties calculated at the PBE level.

The space group is Cmm2 (No. 35) and the conventional cell measures 2.9382, 4.5620 and 9.0438 Å, with angles of 90.00, 90.00 and 90.00 degrees. The inequivalent atoms are Mg at (0.0000, 0.0000, 0.0000), Tc at (0.0000, 0.0000, 0.4954), Tc at (0.0000, 0.5000, 0.7368) and Ru at (0.0000, 0.5000, 0.2519).


Below is a relaxed Mg2TcRu crystal, with properties calculated at the PBE level.

The space group is Cm (No. 8) and the conventional cell measures 8.9658, 2.8687 and 5.0491 Å, with angles of 90.00, 97.44 and 90.00 degrees. The inequivalent atoms are Mg at (0.0000, 0.0000, 0.0000), Mg at (0.2395, 0.0000, 0.7523), Tc at (0.2520, 0.5000, 0.2820) and Ru at (0.4917, 0.0000, 0.4676).

The excess energy over the best structure of this formula in the dataset comes out at 70.8 kJ/mol of formula units.


Below is a relaxed MgTcRu crystal, with properties calculated at the PBE level.

The space group is F-43m (No. 216) and the conventional cell measures 5.9405, 5.9405 and 5.9405 Å, with angles of 90.00, 90.00 and 90.00 degrees. The inequivalent atoms are Mg at (0.0000, 0.0000, 0.0000), Tc at (0.0000, 0.0000, 0.5000) and Ru at (0.2500, 0.2500, 0.2500).

The excess energy over the best structure of this formula in the dataset comes out at 118.5 kJ/mol of formula units.


Below is a relaxed Mg2TcRu crystal, with properties calculated at the PBE level.

The space group is C2/m (No. 12) and the conventional cell measures 5.3838, 8.9509 and 2.7323 Å, with angles of 90.00, 107.32 and 90.00 degrees. The inequivalent atoms are Mg at (0.2500, 0.2500, 0.0000), Tc at (0.0000, 0.0000, 0.5000) and Ru at (0.0000, 0.5000, 0.5000).

The excess energy over the best structure of this formula in the dataset comes out at 93.6 kJ/mol of formula units.


We obtain density of states at the Fermi level values of 0.8804, 0.6710, 1.1455, 0.9899, 0.9150, 1.1039, 1.1646, 0.4932, 1.5950, 0.9015, 1.2163, 0.7292, 1.2198, 1.0047, 1.4462, 0.7011, 1.1000, 0.7675, 1.3148, 1.2548, 0.9111, 0.8220, 1.1148, 0.6777, 0.9182, 0.8668, 1.3032, 0.7014, 1.6650, 0.8959 states/eV/atom for the records listed above, in that order.
We obtain calculated formation energy values of 252, 238, 198, 159, 205, 320, 369, -29, 404, 184, 263, 173, 234, 181, 134, 222, 239, 254, 1468, 201, 221, 695, 190, 1, 213, 232, 255, 154, 396, 213 meV/atom for the records listed above, in that order.